Entry 1:
VASP calculation (PBE-GGA) on a geometry-optimized Nd2Dy2CIBr2Cl2 structure.

relative energy among the computed polymorphs = 0.000 eV/atom

Structure (extended XYZ):
```
10
Lattice="8.682 -1.963 0.000 8.682 1.963 0.000 -2.210 0.000 8.578" Properties=species:S:1:pos:R:3 pbc="T T T"
Nd -0.660 0.000 2.613
Nd 15.814 0.000 5.965
Dy 5.249 0.000 3.686
Dy 9.905 0.000 4.892
C 7.577 0.000 4.289
I 8.682 0.000 0.000
Br 1.272 0.000 6.969
Br 13.882 0.000 1.609
Cl 2.188 0.000 3.199
Cl 12.966 0.000 5.380
```

***

Entry 2:
VASP calculation (PBE-GGA) on a geometry-optimized Nd2Dy2CIBr2Cl2 structure.

relative energy among the computed polymorphs = 0.006 eV/atom

Structure (extended XYZ):
```
10
Lattice="9.005 -1.938 0.000 9.005 1.938 0.000 -2.161 0.000 8.178" Properties=species:S:1:pos:R:3 pbc="T T T"
Nd 2.408 0.000 0.682
Nd 13.441 0.000 7.496
Dy 8.591 0.000 1.576
Dy 7.258 0.000 6.602
C 0.000 0.000 0.000
I -1.081 0.000 4.089
Br 5.635 0.000 1.405
Br 10.214 0.000 6.773
Cl 4.764 0.000 5.459
Cl 11.085 0.000 2.719
```

***

Entry 3:
VASP calculation (PBE-GGA) on a geometry-optimized Nd2Dy2CIBr2Cl2 structure.

relative energy among the computed polymorphs = 0.009 eV/atom

Structure (extended XYZ):
```
10
Lattice="8.791 -1.941 0.000 8.791 1.941 0.000 -2.248 0.000 8.201" Properties=species:S:1:pos:R:3 pbc="T T T"
Nd 2.413 0.000 0.668
Nd 12.920 0.000 7.533
Dy 8.345 0.000 1.570
Dy 6.988 0.000 6.630
C 0.000 0.000 0.000
I -1.124 0.000 4.100
Br 4.402 0.000 5.333
Br 10.931 0.000 2.867
Cl 5.537 0.000 1.277
Cl 9.796 0.000 6.923
```

***

Entry 4:
VASP calculation (PBE-GGA) on a geometry-optimized Pr2Dy2CI2BrCl2 structure.

Structure (extended XYZ):
```
10
Lattice="9.334 -1.945 0.000 9.334 1.945 0.000 -1.679 0.000 8.043" Properties=species:S:1:pos:R:3 pbc="T T T"
Pr 2.469 0.000 0.618
Pr 14.521 0.000 7.425
Dy 8.969 0.000 1.607
Dy 8.021 0.000 6.436
C 0.000 0.000 0.000
I 5.811 0.000 1.678
I 11.179 0.000 6.365
Br -0.839 0.000 4.021
Cl 5.510 0.000 5.361
Cl 11.480 0.000 2.681
```

***

Entry 5:
VASP calculation (PBE-GGA) on a geometry-optimized Pr2Dy2CI2Br2Cl structure.

relative energy among the computed polymorphs = 0.021 eV/atom

Structure (extended XYZ):
```
10
Lattice="9.404 -1.944 0.000 9.404 1.944 0.000 -1.822 0.000 8.026" Properties=species:S:1:pos:R:3 pbc="T T T"
Pr 2.480 0.000 0.606
Pr 14.506 0.000 7.419
Dy 9.027 0.000 1.631
Dy 7.959 0.000 6.394
C 0.000 0.000 0.000
I 5.872 0.000 1.664
I 11.114 0.000 6.361
Br 5.340 0.000 5.193
Br 11.646 0.000 2.833
Cl -0.911 0.000 4.013
```

***

Entry 6:
VASP calculation (PBE-GGA) on a geometry-optimized Pr2Dy2CI2Br2Cl structure.

relative energy among the computed polymorphs = 0.000 eV/atom

Structure (extended XYZ):
```
10
Lattice="9.498 -1.974 0.000 9.498 1.974 0.000 -1.740 0.000 8.065" Properties=species:S:1:pos:R:3 pbc="T T T"
Pr 18.615 0.000 1.731
Pr -1.359 0.000 6.334
Dy 5.408 0.000 7.512
Dy 11.848 0.000 0.553
C 9.498 0.000 0.000
I 1.869 0.000 6.608
I 15.387 0.000 1.457
Br 2.500 0.000 2.633
Br 14.756 0.000 5.432
Cl 8.628 0.000 4.033
```

***

no.,density (kg/m3),calculated total energy (eV per atom)
1,5583,-5.131
2,5720,-5.125
3,5833,-5.122
4,5818,-5.043
5,6044,-4.951
6,5864,-4.972